1.
Below is a PBEsol-optimized structure of HgSb2Te, with properties calculated at the SCAN level.

Calculated values
DOS at the Fermi energy = 1.935 states/eV per cell
Polymorph energy (0 for the lowest one) = 0.00 eV per formula unit
Calculated total energy = -179.94 eV per cell
Symmetry = No. 99
Uncorrected formation energy = -0.0016 eV per atom

Unit cell a=4.301 b=4.301 c=6.036 alpha=90.00 beta=90.00 gamma=90.00
Fractional positions:
Hg: 0.000 0.000 0.000
Sb: 0.000 0.000 0.500
Sb: 0.500 0.500 0.501
Te: 0.500 0.500 0.001

---

2.
Below is a PBEsol-optimized structure of CaHf2S, with properties calculated at the SCAN level.

Calculated values
DOS at the Fermi energy = 4.364 states/eV per cell
Calculated total energy = -288.09 eV per cell
Symmetry = No. 122
Uncorrected formation energy = 0.1480 eV per atom

Unit cell a=9.539 b=9.539 c=9.539 alpha=149.28 beta=149.28 gamma=44.01
Fractional positions:
Ca: 0.000 0.000 0.000
Ca: 0.750 0.250 0.500
Hf: 0.333 0.625 0.208
Hf: 0.375 0.583 0.708
Hf: 0.417 0.125 0.792
Hf: 0.875 0.667 0.292
S: 0.250 0.750 0.500
S: 0.500 0.500 0.000

---

3.
Below is a PBEsol-optimized structure of Hf2MgBe2, with properties calculated at the SCAN level.

Calculated values
DOS at the Fermi energy = 4.607 states/eV per cell
Calculated total energy = -278.21 eV per cell
Formation enthalpy at 0 K = -0.016 eV/atom
Symmetry = No. 127

Unit cell a=6.510 b=6.510 c=3.761 alpha=90.00 beta=90.00 gamma=90.00
Fractional positions:
Hf: 0.168 0.332 0.000
Hf: 0.332 0.832 0.000
Hf: 0.668 0.168 0.000
Hf: 0.832 0.668 0.000
Mg: 0.000 0.000 0.500
Mg: 0.500 0.500 0.500
Be: 0.119 0.619 0.500
Be: 0.381 0.119 0.500
Be: 0.619 0.881 0.500
Be: 0.881 0.381 0.500

---

4.
Below is a PBEsol-optimized structure of HgP2, with properties calculated at the SCAN level.

Calculated values
DOS at the Fermi energy = 0.489 states/eV per cell
Calculated total energy = -88.78 eV per cell
Formation enthalpy at 0 K = 0.061 eV/atom
Symmetry = No. 12

Unit cell a=4.176 b=4.176 c=4.889 alpha=101.12 beta=101.12 gamma=46.08
Fractional positions:
Hg: 0.000 0.000 0.000
P: 0.281 0.281 0.365
P: 0.719 0.719 0.635